No. 1
# AlInGe (GGA-PBE, optimized geometry)
data_AlInGe
_chemical_formula_sum 'Al4 In4 Ge4'
_cell_length_a 6.544
_cell_length_b 6.544
_cell_length_c 6.544
_cell_angle_alpha 90.00
_cell_angle_beta 90.00
_cell_angle_gamma 90.00
_space_group_name_H-M_alt 'F -4 3 m'
_space_group_IT_number 216
_space_group_name_Hall 'F -4 2 3'
loop_
_atom_site_label
_atom_site_type_symbol
_atom_site_fract_x
_atom_site_fract_y
_atom_site_fract_z
Al1 Al 0.000 0.000 0.000
In1 In 0.250 0.250 0.250
Ge1 Ge 0.250 0.250 0.750
# - ΔE_f: 0.156 eV per atom
# - Density of states at the Fermi level: 0.2 states/eV per cell

=====

No. 2
# AlInGe2 (GGA-PBE, optimized geometry)
data_AlInGe2
_chemical_formula_sum 'Al4 In4 Ge8'
_cell_length_a 5.421
_cell_length_b 5.421
_cell_length_c 14.186
_cell_angle_alpha 90.00
_cell_angle_beta 90.00
_cell_angle_gamma 90.00
_space_group_name_H-M_alt 'I -4 2 d'
_space_group_IT_number 122
_space_group_name_Hall 'I -4 2bw'
loop_
_atom_site_label
_atom_site_type_symbol
_atom_site_fract_x
_atom_site_fract_y
_atom_site_fract_z
Al1 Al 0.000 0.000 0.000
In1 In 0.000 0.000 0.500
Ge1 Ge 0.212 0.250 0.125
# - ΔE_f: 0.231 eV per atom
# - Excess energy over the best structure of this formula in the dataset: 68 meV/atom
# - Density of states at the Fermi level: 7.0 states/eV per cell

=====

No. 3
# AlInGe2 (GGA-PBE, optimized geometry)
data_AlInGe2
_chemical_formula_sum 'Al3 In3 Ge6'
_cell_length_a 4.1199
_cell_length_b 4.1199
_cell_length_c 18.0548
_cell_angle_alpha 90.00
_cell_angle_beta 90.00
_cell_angle_gamma 120.00
_space_group_name_H-M_alt 'R 3 m'
_space_group_IT_number 160
_space_group_name_Hall 'R 3 -2"'
loop_
_atom_site_label
_atom_site_type_symbol
_atom_site_fract_x
_atom_site_fract_y
_atom_site_fract_z
Al1 Al 0.0000 0.0000 0.0000
In1 In 0.0000 0.0000 0.8316
Ge1 Ge 0.0000 0.0000 0.4019
Ge2 Ge 0.0000 0.0000 0.5965
# - ΔE_f: 0.184 eV per atom
# - Excess energy over the best structure of this formula in the dataset: 21 meV/atom
# - Density of states at the Fermi level: 7.8 states/eV per cell

=====

Question: Which value of ΔE_f does entry 1 give?
Answer: 0.156 eV per atom